1.
# TlW2Se

A relaxed structure of TlW2Se (PBE, the Alexandria database).

size of the total moment = 0.00 μB per atom
uncorrected formation energy = 1308.8 meV/atom
offset from the most stable computed form = 0.9113 eV per atom

Cell lengths 4.0213, 4.0213, 4.6797 Å; angles 90.00, 90.00, 90.00 degrees
Fractional coordinates of all 4 atoms:
Tl 0.0000 0.0000 0.0000
W 0.0000 0.5000 0.5000
W 0.5000 0.0000 0.5000
Se 0.5000 0.5000 0.0000

2.
# TlW2Se

A relaxed structure of TlW2Se (PBE, the Alexandria database).

size of the total moment = 0.00 μB per atom
uncorrected formation energy = 878.8 meV/atom
offset from the most stable computed form = 0.4813 eV per atom

Cell lengths 3.1664, 3.1664, 7.0377 Å; angles 90.00, 90.00, 90.00 degrees
Fractional coordinates of all 4 atoms:
Tl 0.0000 0.0000 0.0000
W 0.5000 0.5000 0.2966
W 0.5000 0.5000 0.7034
Se 0.0000 0.0000 0.5000

3.
# TlW2Se

A relaxed structure of TlW2Se (PBE, the Alexandria database).

size of the total moment = 0.00 μB per atom
uncorrected formation energy = 671.2 meV/atom
offset from the most stable computed form = 0.2737 eV per atom

Cell lengths 3.0830, 4.5858, 5.7415 Å; angles 90.00, 105.30, 90.00 degrees
Fractional coordinates of all 4 atoms:
Tl 0.0000 0.0000 0.0000
W 0.2819 0.0000 0.5083
W 0.6777 0.5000 0.3430
Se 0.3474 0.5000 0.7012

4.
# TlWSe

A relaxed structure of TlWSe (PBE, the Alexandria database).

size of the total moment = 0.00 μB per atom
uncorrected formation energy = 559.9 meV/atom
offset from the most stable computed form = 0.4865 eV per atom

Cell lengths 8.8036, 8.5784, 3.0581 Å; angles 84.05, 75.74, 20.21 degrees
Fractional coordinates of all 3 atoms:
Tl 0.0000 0.0000 0.0000
W 0.6580 0.6580 0.3420
Se 0.2678 0.2678 0.7322

Please write out number 3 again, unchanged.
# TlW2Se

A relaxed structure of TlW2Se (PBE, the Alexandria database).

size of the total moment = 0.00 μB per atom
uncorrected formation energy = 671.2 meV/atom
offset from the most stable computed form = 0.2737 eV per atom

Cell lengths 3.0830, 4.5858, 5.7415 Å; angles 90.00, 105.30, 90.00 degrees
Fractional coordinates of all 4 atoms:
Tl 0.0000 0.0000 0.0000
W 0.2819 0.0000 0.5083
W 0.6777 0.5000 0.3430
Se 0.3474 0.5000 0.7012

> Among the records above, which one has the highest offset from the most stable computed form?

number 1

> Look up the uncorrected formation energy of the second one.

878.8 meV/atom

> Among the records above, which one has the lowest offset from the most stable computed form?

number 3